Entry 1:
CuH6C2O7: PBEsol geometry, meta-GGA SCAN.

Unit cell a=9.5484 b=6.3697 c=9.8457 alpha=90.00 beta=90.00 gamma=90.00
Last column: nearest neighbours and their distance in Å.
Sites, in units of the cell vectors:
Cu: 0.2500 0.0000 0.1485  4 O 1.96-1.99
Cu: 0.2500 0.0000 0.6485  4 O 1.96-1.99
Cu: 0.7500 0.0000 0.3515  4 O 1.96-1.99
Cu: 0.7500 0.0000 0.8515  4 O 1.96-1.99
H: 0.0211 0.4258 0.1736  1 O 1.02
H: 0.0211 0.5742 0.6736  1 O 1.02
H: 0.1138 0.3046 0.7749  1 O 1.03
H: 0.1138 0.6954 0.2749  1 O 1.03
H: 0.2387 0.1999 0.8709  1 O 1.00
H: 0.2387 0.8001 0.3709  1 O 1.00
H: 0.2613 0.1999 0.3709  1 O 1.00
H: 0.2613 0.8001 0.8709  1 O 1.00
H: 0.3862 0.3046 0.2749  1 O 1.03
H: 0.3862 0.6954 0.7749  1 O 1.03
H: 0.4789 0.4258 0.6736  1 O 1.02
H: 0.4789 0.5742 0.1736  1 O 1.02
H: 0.5211 0.4258 0.8264  1 O 1.02
H: 0.5211 0.5742 0.3264  1 O 1.02
H: 0.6138 0.3046 0.2251  1 O 1.03
H: 0.6138 0.6954 0.7251  1 O 1.03
H: 0.7387 0.1999 0.1291  1 O 1.00
H: 0.7387 0.8001 0.6291  1 O 1.00
H: 0.7613 0.1999 0.6291  1 O 1.00
H: 0.7613 0.8001 0.1291  1 O 1.00
H: 0.8862 0.3046 0.7251  1 O 1.03
H: 0.8862 0.6954 0.2251  1 O 1.03
H: 0.9789 0.4258 0.3264  1 O 1.02
H: 0.9789 0.5742 0.8264  1 O 1.02
C: 0.0249 0.1082 0.4751  2 O 1.25-1.28
C: 0.0249 0.8918 0.9751  2 O 1.25-1.28
C: 0.4751 0.1082 0.9751  2 O 1.25-1.28
C: 0.4751 0.8918 0.4751  2 O 1.25-1.28
C: 0.5249 0.1082 0.5249  2 O 1.25-1.28
C: 0.5249 0.8918 0.0249  2 O 1.25-1.28
C: 0.9751 0.1082 0.0249  2 O 1.25-1.28
C: 0.9751 0.8918 0.5249  2 O 1.25-1.28
O: 0.0000 0.4720 0.7500  2 H 1.02
O: 0.0000 0.5280 0.2500  2 H 1.02
O: 0.0582 0.2119 0.0969  1 C 1.25
O: 0.0582 0.7881 0.5969  1 C 1.25
O: 0.1472 0.1691 0.5105  1 C 1.28
O: 0.1472 0.8309 0.0105  1 C 1.28
O: 0.1719 0.1726 0.7953  2 H 1.00-1.03
O: 0.1719 0.8274 0.2953  2 H 1.00-1.03
O: 0.3281 0.1726 0.2953  2 H 1.00-1.03
O: 0.3281 0.8274 0.7953  2 H 1.00-1.03
O: 0.3528 0.1691 0.0105  1 C 1.28
O: 0.3528 0.8309 0.5105  1 C 1.28
O: 0.4418 0.2119 0.5969  1 C 1.25
O: 0.4418 0.7881 0.0969  1 C 1.25
O: 0.5000 0.4720 0.2500  2 H 1.02
O: 0.5000 0.5280 0.7500  2 H 1.02
O: 0.5582 0.2119 0.9031  1 C 1.25
O: 0.5582 0.7881 0.4031  1 C 1.25
O: 0.6472 0.1691 0.4895  1 C 1.28
O: 0.6472 0.8309 0.9895  1 C 1.28
O: 0.6719 0.1726 0.2047  2 H 1.00-1.03
O: 0.6719 0.8274 0.7047  2 H 1.00-1.03
O: 0.8281 0.1726 0.7047  2 H 1.00-1.03
O: 0.8281 0.8274 0.2047  2 H 1.00-1.03
O: 0.8528 0.1691 0.9895  1 C 1.28
O: 0.8528 0.8309 0.4895  1 C 1.28
O: 0.9418 0.2119 0.4031  1 C 1.25
O: 0.9418 0.7881 0.9031  1 C 1.25

Values from the calculation:
- Energy: -7.290 eV/atom
- Space-group type: Pcca

Entry 2:
RbMn2SeF: PBEsol geometry, meta-GGA SCAN.

Unit cell a=4.3620 b=4.3620 c=5.8470 alpha=90.00 beta=90.00 gamma=90.00
Last column: nearest neighbours and their distance in Å.
Sites, in units of the cell vectors:
Rb: 0.0000 0.0000 0.0000  4 Se 3.08
Mn: 0.0000 0.5000 0.5000  2 F 2.18
Mn: 0.5000 0.0000 0.5000  2 F 2.18
Se: 0.5000 0.5000 0.0000  2 F 2.92, 4 Rb 3.08
F: 0.5000 0.5000 0.5000  4 Mn 2.18

Values from the calculation:
- Formation energy (no corrections): -2.5 eV per formula unit
- Space-group type: P4/mmm

Entry 3:
Hf2IrCl: PBEsol geometry, meta-GGA SCAN.

Unit cell a=7.7774 b=7.7774 c=7.7774 alpha=141.02 beta=141.02 gamma=56.31
Last column: nearest neighbours and their distance in Å.
Sites, in units of the cell vectors:
Hf: 0.1223 0.6250 0.9973  2 Cl 2.50, 2 Ir 2.52
Hf: 0.3750 0.3723 0.4973  2 Cl 2.50, 2 Ir 2.52
Hf: 0.6277 0.1250 0.0027  2 Cl 2.50, 2 Ir 2.52
Hf: 0.8750 0.8777 0.5027  2 Cl 2.50, 2 Ir 2.52
Ir: 0.2500 0.7500 0.5000  4 Hf 2.52
Ir: 0.5000 0.5000 0.0000  4 Hf 2.52
Cl: 0.0000 0.0000 0.0000  4 Hf 2.50
Cl: 0.7500 0.2500 0.5000  4 Hf 2.50

Values from the calculation:
- Formation energy (no corrections): -1.0 eV per formula unit
- Space-group type: I-42d

Entry 4:
NaHf2TiTl: PBEsol geometry, meta-GGA SCAN.

Unit cell a=4.8888 b=4.8888 c=4.8136 alpha=90.00 beta=90.00 gamma=90.00
Last column: nearest neighbours and their distance in Å.
Sites, in units of the cell vectors:
Na: 0.0000 0.0000 0.0000  2 Tl 2.41, 4 Hf 2.44
Hf: 0.0000 0.5000 0.0000  2 Na 2.44
Hf: 0.5000 0.0000 0.0000  2 Na 2.44
Ti: 0.5000 0.5000 0.5000  8 Hf 3.43, 4 Tl 3.46
Tl: 0.0000 0.0000 0.5000  2 Na 2.41

Values from the calculation:
- Space-group type: P4/mmm
- Formation energy: 1.46 eV/atom

Entry 5:
AlFe2TcPd: PBEsol geometry, meta-GGA SCAN.

Unit cell a=4.2204 b=4.2204 c=4.2930 alpha=90.00 beta=90.00 gamma=90.00
Last column: nearest neighbours and their distance in Å.
Sites, in units of the cell vectors:
Al: 0.0000 0.0000 0.0000  4 Fe 2.11, 2 Pd 2.15
Fe: 0.0000 0.5000 0.0000  2 Al 2.11
Fe: 0.5000 0.0000 0.0000  2 Al 2.11
Tc: 0.5000 0.5000 0.5000  4 Pd 2.98, 8 Fe 3.01
Pd: 0.0000 0.0000 0.5000  2 Al 2.15

Values from the calculation:
- Space-group type: P4/mmm
- Formation energy: 1.08 eV/atom

Entry 6:
GeRuNO2: PBEsol geometry, meta-GGA SCAN.

Unit cell a=3.9288 b=3.9288 c=3.6952 alpha=90.00 beta=90.00 gamma=90.00
Last column: nearest neighbours and their distance in Å.
Sites, in units of the cell vectors:
Ge: 0.0000 0.0000 0.0000  8 O 2.70, 4 N 2.78
Ru: 0.5000 0.5000 0.5000  2 N 1.85, 4 O 1.96
N: 0.5000 0.5000 0.0000  2 Ru 1.85
O: 0.0000 0.5000 0.5000  2 Ru 1.96
O: 0.5000 0.0000 0.5000  2 Ru 1.96

Values from the calculation:
- Formation energy (no corrections): -0.5 eV per formula unit
- Space-group type: P4/mmm

Entry 7:
BeAgPt2: PBEsol geometry, meta-GGA SCAN.

Unit cell a=2.7694 b=2.7694 c=7.0163 alpha=90.00 beta=90.00 gamma=90.00
Last column: nearest neighbours and their distance in Å.
Sites, in units of the cell vectors:
Be: 0.0000 0.0000 0.0000  8 Pt 2.41
Ag: 0.0000 0.0000 0.5000  4 Ag 2.77, 8 Pt 2.87
Pt: 0.5000 0.5000 0.2014  4 Be 2.41
Pt: 0.5000 0.5000 0.7986  4 Be 2.41

Values from the calculation:
- Space-group type: P4/mmm
- Formation energy: -0.50 eV/atom

Entry 8:
Si7Ni4Au2: PBEsol geometry, meta-GGA SCAN.

Unit cell a=6.6295 b=6.6295 c=7.9480 alpha=109.18 beta=109.18 gamma=32.79
Last column: nearest neighbours and their distance in Å.
Sites, in units of the cell vectors:
Si: 0.0000 0.0000 0.0000  4 Ni 2.28
Si: 0.0047 0.0047 0.3351  4 Ni 2.25-2.32
Si: 0.3347 0.3347 0.5772  4 Ni 2.31-2.33
Si: 0.3448 0.3448 0.2397  3 Ni 2.31-2.32, 1 Au 2.52
Si: 0.6552 0.6552 0.7603  3 Ni 2.31-2.32, 1 Au 2.52
Si: 0.6653 0.6653 0.4228  4 Ni 2.31-2.33
Si: 0.9953 0.9953 0.6649  4 Ni 2.25-2.32
Ni: 0.1555 0.1555 0.5882  7 Si 2.25-2.32
Ni: 0.4945 0.4945 0.8326  6 Si 2.28-2.33
Ni: 0.5055 0.5055 0.1674  6 Si 2.28-2.33
Ni: 0.8445 0.8445 0.4118  7 Si 2.25-2.32
Au: 0.3064 0.3064 0.9067  4 Si 2.52-2.76, 3 Ni 2.60-2.67
Au: 0.6936 0.6936 0.0933  4 Si 2.52-2.76, 3 Ni 2.60-2.67

Values from the calculation:
- Formation energy (no corrections): -4.8 eV per formula unit
- Space-group type: C2/m